(1)
Be2Al2Cr: optimized geometry, PBE-GGA.

Cell lengths 6.470, 6.470, 2.765 Å; angles 90.00, 90.00, 90.00 degrees
Atoms (fractional coordinates):
Cr  0.500  0.500  0.000
Cr  0.000  0.000  0.000
Al  0.181  0.681  0.500
Al  0.819  0.319  0.500
Al  0.681  0.819  0.500
Al  0.319  0.181  0.500
Be  0.885  0.615  0.000
Be  0.615  0.115  0.000
Be  0.115  0.385  0.000
Be  0.385  0.885  0.000

Calculated values
Density of states at the Fermi level   0.710 states/eV/atom
Energy of formation   0.15 eV per atom
SG   P4/mbm
V   115.7 Å³ per cell

---

(2)
ZrBiSCl2: optimized geometry, PBE-GGA.

Cell lengths 5.387, 5.387, 5.426 Å; angles 90.00, 90.00, 90.00 degrees
Each line ends with the local moment (μB).
Atoms (fractional coordinates):
Cl  0.000  0.500  0.000  0.01
Cl  0.500  0.000  0.000  0.01
S  0.000  0.000  0.500  -0.04
Zr  0.500  0.500  0.500  1.74
Bi  0.000  0.000  0.000  0.02

Calculated values
Energy above the lowest structure with this stoichiometry   914 meV per atom
Density of states at the Fermi level   0.964 states/eV/atom
ΔE_f (raw)   0.260 eV/atom
SG   P4/mmm
V   157.4 Å³ per cell

---

(3)
PdRuW: optimized geometry, PBE-GGA.

Cell lengths 2.800, 2.800, 6.143 Å; angles 103.18, 103.18, 90.00 degrees
Atoms (fractional coordinates):
W  0.673  0.673  0.347
Pd  0.002  0.002  0.004
Ru  0.325  0.325  0.650

Calculated values
Energy above the lowest structure with this stoichiometry   86 meV per atom
Density of states at the Fermi level   0.495 states/eV/atom
Energy of formation   0.06 eV per atom
SG   I4mm
V   45.6 Å³ per cell

---

(4)
Nd2AsN4: optimized geometry, PBE-GGA.

Cell lengths 5.605, 7.183, 10.174 Å; angles 90.00, 90.00, 90.00 degrees
Atoms (fractional coordinates):
N  0.250  0.818  0.589
N  0.250  0.463  0.431
N  0.750  0.037  0.931
N  0.009  0.186  0.651
N  0.491  0.686  0.849
N  0.509  0.314  0.151
N  0.991  0.814  0.349
N  0.509  0.814  0.349
N  0.009  0.686  0.849
N  0.750  0.537  0.569
N  0.750  0.182  0.411
N  0.991  0.314  0.151
N  0.750  0.682  0.089
N  0.250  0.963  0.069
N  0.250  0.318  0.911
N  0.491  0.186  0.651
As  0.250  0.211  0.074
As  0.250  0.711  0.426
As  0.750  0.789  0.926
As  0.750  0.289  0.574
Nd  0.250  0.141  0.438
Nd  0.250  0.641  0.062
Nd  0.250  0.998  0.805
Nd  0.750  0.859  0.562
Nd  0.750  0.002  0.195
Nd  0.750  0.359  0.938
Nd  0.750  0.502  0.305
Nd  0.250  0.498  0.695

Calculated values
Density of states at the Fermi level   0.701 states/eV/atom
ΔE_f (raw)   -0.523 eV/atom
SG   Pnma
V   409.6 Å³ per cell

---

(5)
Hf2ZrCd2: optimized geometry, PBE-GGA.

Cell lengths 3.133, 3.117, 11.738 Å; angles 82.37, 90.00, 90.00 degrees
Atoms (fractional coordinates):
Hf  0.500  0.404  0.193
Hf  0.500  0.596  0.807
Cd  0.000  0.805  0.390
Cd  0.000  0.195  0.610
Zr  0.000  0.000  0.000

Calculated values
Energy above the lowest structure with this stoichiometry   86 meV per atom
Density of states at the Fermi level   0.779 states/eV/atom
Energy of formation   0.00 eV per atom
SG   Cmmm
V   113.6 Å³ per cell

---

(6)
Re2SiPb: optimized geometry, PBE-GGA.

Cell lengths 3.227, 4.499, 4.499 Å; angles 90.00, 90.00, 90.00 degrees
Atoms (fractional coordinates):
Re  0.000  0.000  0.000
Re  0.000  0.500  0.500
Pb  0.500  0.000  0.500
Si  0.500  0.500  0.000

Calculated values
Energy above the lowest structure with this stoichiometry   498 meV per atom
Density of states at the Fermi level   1.060 states/eV/atom
ΔE_f (raw)   0.848 eV/atom
SG   P4/mmm
V   65.3 Å³ per cell

---

(7)
Ce3Al5H12: optimized geometry, PBE-GGA.

Cell lengths 10.430, 10.430, 10.430 Å; angles 109.47, 109.47, 109.47 degrees
Atoms (fractional coordinates):
Al  0.500  0.500  0.000
Al  0.500  0.500  0.500
Al  0.000  0.500  0.000
Al  0.125  0.750  0.375
Al  0.125  0.375  0.250
Al  0.375  0.250  0.125
Al  0.500  0.000  0.500
Al  0.625  0.875  0.250
Al  0.000  0.000  0.000
Al  0.875  0.250  0.625
Al  0.500  0.000  0.000
Al  0.625  0.750  0.875
Al  0.375  0.125  0.750
Al  0.750  0.625  0.375
Al  0.000  0.000  0.500
Al  0.875  0.625  0.750
Al  0.750  0.125  0.875
Al  0.250  0.375  0.625
Al  0.000  0.500  0.500
Al  0.250  0.875  0.125
H  0.418  0.294  0.329
H  0.418  0.124  0.588
H  0.536  0.329  0.912
H  0.124  0.706  0.536
H  0.794  0.464  0.376
H  0.412  0.376  0.582
H  0.412  0.036  0.329
H  0.376  0.964  0.794
H  0.912  0.829  0.536
H  0.036  0.412  0.829
H  0.582  0.706  0.671
H  0.124  0.418  0.088
H  0.671  0.206  0.582
H  0.829  0.918  0.294
H  0.294  0.418  0.829
H  0.536  0.206  0.124
H  0.376  0.412  0.082
H  0.088  0.171  0.464
H  0.036  0.624  0.706
H  0.624  0.036  0.206
H  0.464  0.794  0.876
H  0.171  0.088  0.964
H  0.206  0.671  0.082
H  0.206  0.536  0.624
H  0.624  0.588  0.918
H  0.171  0.082  0.706
H  0.706  0.582  0.171
H  0.329  0.794  0.418
H  0.912  0.082  0.876
H  0.964  0.588  0.171
H  0.876  0.294  0.464
H  0.706  0.124  0.036
H  0.588  0.964  0.671
H  0.964  0.376  0.294
H  0.088  0.918  0.124
H  0.918  0.088  0.624
H  0.082  0.912  0.376
H  0.794  0.329  0.918
H  0.294  0.876  0.964
H  0.329  0.536  0.412
H  0.876  0.582  0.912
H  0.082  0.171  0.206
H  0.671  0.464  0.588
H  0.829  0.912  0.036
H  0.588  0.624  0.418
H  0.582  0.876  0.412
H  0.464  0.671  0.088
H  0.918  0.829  0.794
Ce  0.125  0.875  0.750
Ce  0.625  0.250  0.375
Ce  0.250  0.125  0.375
Ce  0.750  0.375  0.125
Ce  0.125  0.250  0.875
Ce  0.375  0.625  0.250
Ce  0.250  0.625  0.875
Ce  0.875  0.750  0.125
Ce  0.875  0.125  0.250
Ce  0.375  0.750  0.625
Ce  0.750  0.875  0.625
Ce  0.625  0.375  0.750

Calculated values
Density of states at the Fermi level   0.427 states/eV/atom
SG   Ia-3d
Energy   -0.1429 Ha/atom
V   873.4 Å³ per cell

---

(8)
Pr6Tl3N: optimized geometry, PBE-GGA.

Cell lengths 7.050, 7.124, 7.124 Å; angles 58.84, 83.53, 83.53 degrees
Atoms (fractional coordinates):
N  0.500  0.500  0.500
Pr  0.356  0.633  0.148
Pr  0.644  0.367  0.852
Pr  0.644  0.852  0.367
Pr  0.153  0.636  0.636
Pr  0.847  0.364  0.364
Pr  0.356  0.148  0.633
Tl  0.000  0.000  0.000
Tl  0.250  0.176  0.176
Tl  0.750  0.824  0.824

Calculated values
Density of states at the Fermi level   0.971 states/eV/atom
ΔE_f (raw)   -0.395 eV/atom
SG   C2/m
V   303.6 Å³ per cell

---

(9)
Li2TcPt: optimized geometry, PBE-GGA.

Cell lengths 2.683, 4.652, 4.602 Å; angles 90.00, 90.00, 90.00 degrees
Each line ends with the local moment (μB).
Atoms (fractional coordinates):
Li  0.500  0.500  0.000  -0.01
Li  0.000  0.000  0.000  -0.01
Pt  0.500  0.000  0.500  0.06
Tc  0.000  0.500  0.500  0.49

Calculated values
Energy above the lowest structure with this stoichiometry   24 meV per atom
Density of states at the Fermi level   0.689 states/eV/atom
Energy of formation   -0.10 eV per atom
SG   Pmmm
V   57.4 Å³ per cell

---

(10)
MgSi2Tc: optimized geometry, PBE-GGA.

Cell lengths 4.340, 4.340, 4.340 Å; angles 60.00, 60.00, 60.00 degrees
Atoms (fractional coordinates):
Si  0.750  0.750  0.750
Si  0.000  0.000  0.000
Mg  0.500  0.500  0.500
Tc  0.250  0.250  0.250

Calculated values
Density of states at the Fermi level   0.831 states/eV/atom
ΔE_f (raw)   0.335 eV/atom
SG   F-43m
V   57.8 Å³ per cell

---

(11)
NdErPu2Se5: optimized geometry, PBE-GGA.

Cell lengths 5.097, 5.097, 10.966 Å; angles 90.00, 90.00, 90.00 degrees
Each line ends with the local moment (μB).
Atoms (fractional coordinates):
Se  0.000  0.500  0.500  -0.04
Se  0.000  0.000  0.250  -0.03
Se  0.000  0.000  0.750  -0.03
Se  0.500  0.500  0.000  -0.03
Se  0.500  0.000  0.500  -0.04
Er  0.000  0.000  0.500  0.06
Nd  0.000  0.000  0.000  0.05
Pu  0.500  0.500  0.688  5.71
Pu  0.500  0.500  0.312  5.71

Calculated values
Density of states at the Fermi level   3.554 states/eV/atom
ΔE_f (raw)   -1.191 eV/atom
SG   P4/mmm
V   284.9 Å³ per cell

---

(12)
HfZnNi2: optimized geometry, PBE-GGA.

Cell lengths 3.226, 4.200, 4.200 Å; angles 90.00, 90.00, 90.00 degrees
Atoms (fractional coordinates):
Hf  0.500  0.000  0.000
Ni  0.000  0.000  0.500
Ni  0.000  0.500  0.000
Zn  0.500  0.500  0.500

Calculated values
Density of states at the Fermi level   0.718 states/eV/atom
Energy of formation   -0.29 eV per atom
SG   P4/mmm
V   56.9 Å³ per cell

---

(13)
CsPr2P2N6: optimized geometry, PBE-GGA.

Cell lengths 6.573, 6.629, 6.653 Å; angles 114.47, 89.99, 60.29 degrees
Each line ends with the local moment (μB).
Atoms (fractional coordinates):
N  0.605  0.388  0.160  0.12
N  0.993  0.612  0.839  0.12
N  0.395  0.612  0.840  0.12
N  0.932  0.136  0.370  0.09
N  0.007  0.388  0.161  0.12
N  0.068  0.864  0.630  0.09
P  0.150  0.700  0.762  -0.01
P  0.850  0.300  0.238  -0.01
Cs  0.500  0.000  0.500  0.00
Pr  0.179  0.642  0.199  0.00
Pr  0.821  0.358  0.801  0.00

Calculated values
Density of states at the Fermi level   0.446 states/eV/atom
ΔE_f (raw)   -0.659 eV/atom
SG   C2/m
V   221.3 Å³ per cell

---

(14)
InSbP: optimized geometry, PBE-GGA.

Cell lengths 4.800, 4.800, 4.800 Å; angles 60.00, 60.00, 60.00 degrees
Atoms (fractional coordinates):
Sb  0.000  0.000  0.000
In  0.500  0.500  0.500
P  0.750  0.750  0.750

Calculated values
Energy above the lowest structure with this stoichiometry   370 meV per atom
Density of states at the Fermi level   0.843 states/eV/atom
ΔE_f (raw)   0.369 eV/atom
SG   F-43m
V   78.2 Å³ per cell

---

(15)
Cs2BaCaI6: optimized geometry, PBE-GGA.

Cell lengths 9.182, 9.182, 9.182 Å; angles 60.00, 60.00, 90.00 degrees
Atoms (fractional coordinates):
I  0.260  0.260  0.479
I  0.740  0.740  0.521
I  0.260  0.260  0.000
I  0.260  0.740  0.000
I  0.740  0.260  0.000
I  0.740  0.740  0.000
Ba  0.000  0.000  0.000
Cs  0.250  0.750  0.500
Cs  0.750  0.250  0.500
Ca  0.500  0.500  0.000

Calculated values
Energy above the lowest structure with this stoichiometry   5 meV per atom
Density of states at the Fermi level   0.000 states/eV/atom
ΔE_f (raw)   -1.614 eV/atom
SG   Fm-3m
V   547.3 Å³ per cell

---

(16)
Th4SbRh15: optimized geometry, PBE-GGA.

Cell lengths 4.108, 4.108, 20.437 Å; angles 90.00, 90.00, 90.00 degrees
Atoms (fractional coordinates):
Rh  0.500  0.500  0.602
Rh  0.500  0.000  0.909
Rh  0.000  0.500  0.296
Rh  0.000  0.500  0.091
Rh  0.000  0.500  0.909
Rh  0.500  0.500  0.807
Rh  0.500  0.000  0.500
Rh  0.500  0.500  0.398
Rh  0.500  0.500  0.000
Rh  0.500  0.000  0.296
Rh  0.000  0.500  0.500
Rh  0.500  0.000  0.091
Rh  0.500  0.000  0.704
Rh  0.000  0.500  0.704
Rh  0.500  0.500  0.193
Th  0.000  0.000  0.602
Th  0.000  0.000  0.196
Th  0.000  0.000  0.804
Th  0.000  0.000  0.398
Sb  0.000  0.000  0.000

Calculated values
Density of states at the Fermi level   0.904 states/eV/atom
ΔE_f (raw)   -0.618 eV/atom
SG   P4/mmm
V   344.9 Å³ per cell

---

(17)
LiPr2Cd: optimized geometry, PBE-GGA.

Cell lengths 3.437, 3.437, 12.322 Å; angles 81.98, 81.98, 60.00 degrees
Atoms (fractional coordinates):
Li  0.500  0.500  0.500
Pr  0.909  0.909  0.274
Pr  0.091  0.091  0.726
Cd  0.000  0.000  0.000

Calculated values
Energy above the lowest structure with this stoichiometry   357 meV per atom
Density of states at the Fermi level   1.516 states/eV/atom
Energy of formation   0.23 eV per atom
SG   R-3m
V   124.4 Å³ per cell

---

(18)
Dy5ThRu4: optimized geometry, PBE-GGA.

Cell lengths 4.833, 6.748, 7.693 Å; angles 87.87, 108.31, 90.00 degrees
Atoms (fractional coordinates):
Ru  0.341  0.244  0.683
Ru  0.000  0.240  0.000
Ru  0.659  0.756  0.317
Ru  0.000  0.760  0.000
Dy  0.500  0.500  0.000
Dy  0.830  0.997  0.659
Dy  0.166  0.502  0.333
Dy  0.170  0.003  0.341
Dy  0.834  0.498  0.667
Th  0.500  0.000  0.000

Calculated values
Density of states at the Fermi level   0.689 states/eV/atom
Energy of formation   -0.34 eV per atom
SG   C2/m
V   238.0 Å³ per cell

---

(19)
Pa3Hg: optimized geometry, PBE-GGA.

Cell lengths 5.169, 5.169, 5.169 Å; angles 60.00, 60.00, 60.00 degrees
Atoms (fractional coordinates):
Pa  0.750  0.750  0.750
Pa  0.000  0.000  0.000
Pa  0.250  0.250  0.250
Hg  0.500  0.500  0.500

Calculated values
Energy above the lowest structure with this stoichiometry   239 meV per atom
Density of states at the Fermi level   2.782 states/eV/atom
Energy of formation   0.23 eV per atom
SG   Fm-3m
V   97.6 Å³ per cell

---

(20)
NiMo2Cl: optimized geometry, PBE-GGA.

Cell lengths 8.544, 8.544, 8.544 Å; angles 19.11, 19.11, 19.11 degrees
Atoms (fractional coordinates):
Ni  0.250  0.250  0.250
Mo  0.999  0.999  0.999
Mo  0.501  0.501  0.501
Cl  0.750  0.750  0.750

Calculated values
Energy above the lowest structure with this stoichiometry   176 meV per atom
Density of states at the Fermi level   0.973 states/eV/atom
ΔE_f (raw)   0.387 eV/atom
SG   R-3m
V   58.4 Å³ per cell